Here is KTa after structural relaxation from the Alexandria database. Energies are from PBE.

Structure (extended XYZ):
```
16
Lattice="10.5405 0.0000 0.0000 0.0000 10.5405 0.0000 0.0000 0.0000 10.5405" Properties=species:S:1:pos:R:3 pbc="T T T"
Ta 6.1726 6.1726 4.3679
Ta 0.9023 9.6382 0.9023
Ta 9.6382 0.9023 0.9023
Ta 6.1726 4.3679 6.1726
Ta 9.6382 9.6382 9.6382
Ta 4.3679 4.3679 4.3679
Ta 4.3679 6.1726 6.1726
Ta 0.9023 0.9023 9.6382
K 3.0289 3.0289 7.5116
K 3.0289 7.5116 3.0289
K 7.5116 3.0289 3.0289
K 7.5116 7.5116 7.5116
K 2.2413 8.2992 8.2992
K 2.2413 2.2413 2.2413
K 8.2992 8.2992 2.2413
K 8.2992 2.2413 8.2992
```

Properties
Energy of formation from the pure elements (kJ/mol of formula units): 291
Final energy (eV per cell): -79.45